No. 1
CdTc2P PBE relaxed; formation energy = 0.0998 eV per atom; total magnetic moment = 0.000 Bohr magnetons per cell; D(E_F) = 3.6 states/eV/f.u.
1.0
1.453 0.839 8.889
-1.453 0.839 8.889
0.000 -1.678 8.889
Cd Tc P
1 2 1
direct
0.000 0.000 0.000
0.242 0.242 0.242
0.497 0.497 0.497
0.766 0.766 0.766

=====

No. 2
CdTc2P PBE relaxed; formation energy = 0.5430 eV per atom; total magnetic moment = 0.003 Bohr magnetons per cell; D(E_F) = 4.4 states/eV/f.u.
1.0
0.000 3.157 3.157
3.157 0.000 3.157
3.157 3.157 0.000
Cd Tc P
1 2 1
direct
0.000 0.000 0.000
0.250 0.250 0.250
0.500 0.500 0.500
0.750 0.750 0.750

=====

No. 3
Cd4TcP PBE relaxed; formation energy = 0.7253 eV per atom; total magnetic moment = 2.002 Bohr magnetons per cell; D(E_F) = 5.2 states/eV/f.u.
1.0
0.000 3.938 3.938
3.938 0.000 3.938
3.938 3.938 0.000
Cd Tc P
4 1 1
direct
0.125 0.125 0.125
0.125 0.125 0.624
0.125 0.624 0.125
0.624 0.125 0.125
0.500 0.500 0.500
0.750 0.750 0.750

=====

No. 4
CdTc2P PBE relaxed; formation energy = 0.3445 eV per atom; total magnetic moment = 0.000 Bohr magnetons per cell; D(E_F) = 3.4 states/eV/f.u.
1.0
1.522 -2.350 0.000
1.522 2.350 0.000
0.000 0.000 9.259
Cd Tc P
1 2 1
direct
0.000 0.000 0.000
0.000 0.000 0.502
0.500 0.500 0.734
0.500 0.500 0.305

=====

No. 5
CdTc2P PBE relaxed; formation energy = 0.4161 eV per atom; total magnetic moment = 0.000 Bohr magnetons per cell; D(E_F) = 4.4 states/eV/f.u.
1.0
4.360 0.000 0.000
0.000 4.360 0.000
0.000 0.000 3.138
Cd Tc P
1 2 1
direct
0.000 0.000 0.000
0.000 0.500 0.500
0.500 0.000 0.500
0.500 0.500 0.000

=====

No. 6
CdTc2P PBE relaxed; formation energy = 0.0177 eV per atom; total magnetic moment = 0.000 Bohr magnetons per cell; D(E_F) = 1.8 states/eV/f.u.
1.0
1.467 0.847 8.279
-1.467 0.847 8.279
0.000 -1.694 8.279
Cd Tc P
1 2 1
direct
0.000 0.000 0.000
0.236 0.236 0.236
0.764 0.764 0.764
0.500 0.500 0.500

=====

DFT total energy, respectively: -26.66; -24.88; -15.08; -25.68; -25.39; -26.99 eV for the cell shown.